# 1
## PuTePdO (PBE-GGA)

Data for a relaxed PuTePdO crystal.

Crystal system: tetragonal
Formation energy (no corrections) (eV per atom): -1.62
Size of the total moment (μB/f.u.): 4.23

```
8
Lattice="-2.046 1.972 -2.908 1.079 -2.849 -2.691 -7.647 -4.863 2.083" Properties=species:S:1:pos:R:3 pbc="T T T"
Pu -5.789 -2.045 -0.155
Pu -2.341 -3.256 -0.561
Te -5.605 -5.332 0.328
Te -2.525 0.030 -1.044
Pd -0.484 -0.439 -2.799
Pd 0.000 0.000 0.000
O -3.823 -2.431 1.042
O -4.307 -2.870 -1.758
```


# 2
## PuTl2PdO6 (PBE-GGA)

Data for a relaxed PuTl2PdO6 crystal.

Crystal system: triclinic
Formation energy (no corrections) (eV per atom): -1.31
Size of the total moment (μB/f.u.): 0.46

```
10
Lattice="6.474 1.257 -0.853 4.232 5.838 -1.100 2.914 1.701 4.682" Properties=species:S:1:pos:R:3 pbc="T T T"
Pu 3.535 2.331 -0.376
Tl 6.714 4.292 0.504
Tl 3.268 2.070 3.425
Pd 10.345 6.729 0.988
O 5.399 1.823 0.492
O 2.630 1.070 0.663
O 9.690 4.981 0.314
O 7.354 5.292 3.266
O 6.768 2.638 2.763
O 11.058 5.797 2.584
```


# 3
## PuTlPdO6 (PBE-GGA)

Data for a relaxed PuTlPdO6 crystal.

Crystal system: trigonal
Formation energy (no corrections) (eV per atom): -1.33
Size of the total moment (μB/f.u.): 2.94

```
18
Lattice="-0.615 0.162 -5.351 -3.458 -2.816 3.026 -5.791 8.089 0.910" Properties=species:S:1:pos:R:3 pbc="T T T"
Pu -3.011 1.191 -2.331
Pu -6.854 4.243 0.916
Tl 0.000 0.000 0.000
Tl -2.896 4.044 0.455
Pd -3.958 0.199 0.461
Pd -5.906 5.236 -1.876
O -3.421 -0.619 -1.371
O -2.014 0.100 1.187
O -3.907 5.195 -1.314
O -7.850 5.334 -2.602
O -3.553 2.004 -0.483
O -4.348 1.123 2.280
O -5.409 7.089 -2.671
O -5.957 0.239 -0.101
O -5.516 4.311 -3.695
O -4.455 -1.655 1.256
O -6.312 3.431 -0.932
O -6.443 6.054 -0.044
```


# 4
## Pu3Tl2PdO12 (PBE-GGA)

Data for a relaxed Pu3Tl2PdO12 crystal.

Crystal system: trigonal
Formation energy (no corrections) (eV per atom): -1.85
Size of the total moment (μB/f.u.): 6.01

```
18
Lattice="7.477 -0.195 -0.138 3.523 6.598 -0.138 3.523 2.051 6.272" Properties=species:S:1:pos:R:3 pbc="T T T"
Pu 3.738 -0.097 -0.069
Pu 1.762 3.299 -0.069
Pu 1.762 1.025 3.136
Tl 9.442 5.496 3.898
Tl 5.081 2.958 2.098
Pd 0.000 0.000 0.000
O 6.824 3.972 5.817
O 11.383 6.626 1.730
O 8.946 8.009 5.681
O 9.285 2.574 1.826
O 11.383 3.824 5.681
O 6.824 6.803 1.826
O 7.700 4.482 0.179
O 3.141 1.828 4.266
O 5.577 0.444 0.315
O 5.238 5.880 4.171
O 3.141 4.630 0.315
O 7.700 1.651 4.171
```


no.,DFT total energy (eV per atom)
1,-8.53
2,-6.71
3,-7.07
4,-8.09